PrMoIO4: optimized geometry, PBE with a Hubbard U.

```
PrMoIO4
1.0
-4.336 4.905 1.536
-6.313 -1.575 -1.702
-2.842 -2.286 6.310
Pr Mo I O
2 2 2 8
Direct
0.245 0.245 0.865 Pr
0.755 0.755 0.135 Pr
0.636 0.636 0.737 Mo
0.364 0.364 0.263 Mo
0.020 0.020 0.248 I
0.980 0.980 0.752 I
0.300 0.300 0.515 O
0.700 0.700 0.485 O
0.125 0.496 0.145 O
0.530 0.530 0.210 O
0.504 0.875 0.855 O
0.496 0.125 0.145 O
0.470 0.470 0.790 O
0.875 0.504 0.855 O
```

Total magnetic moment = 0.000 μB/atom
Energy = -6.821 eV per atom